No. 1
CrHgIr2, optimized geometry, DFT PBE; VASP energy = -6.452 eV/atom; volume = 16.11 Å³ per atom; crystal system = orthorhombic
1.0
5.513 -0.095 -0.023
2.864 4.711 0.023
-3.587 -3.399 2.445
Cr Hg Ir
1 1 2
direct
0.520 0.520 0.000 Cr
0.253 0.753 0.500 Hg
0.984 0.984 0.000 Ir
0.743 0.243 0.500 Ir

=====

No. 2
Pr5Co2Bi, optimized geometry, DFT PBE; VASP energy = -5.507 eV/atom; volume = 27.87 Å³ per atom; crystal system = tetragonal
1.0
-1.350 -7.258 -3.049
7.628 -0.440 -2.330
-1.434 0.957 8.819
Pr Co Bi
10 4 2
direct
0.525 0.712 0.737 Pr
0.788 0.975 0.263 Pr
0.000 0.000 0.000 Pr
0.500 0.500 0.000 Pr
0.212 0.025 0.737 Pr
0.712 0.212 0.737 Pr
0.025 0.525 0.737 Pr
0.288 0.788 0.263 Pr
0.975 0.475 0.263 Pr
0.475 0.288 0.263 Pr
0.140 0.360 0.000 Co
0.640 0.140 0.000 Co
0.360 0.860 0.000 Co
0.860 0.640 0.000 Co
0.750 0.750 0.500 Bi
0.250 0.250 0.500 Bi

=====

no.,DOS(E_F) (states/eV/atom),formation enthalpy at 0 K (meV per atom)
1,1.12,460
2,1.02,-258